No. 1
A plane-wave DFT calculation with meta-GGA SCAN was carried out for a crystal of NaZr3O relaxed with PBEsol.

abc: 4.4996 4.4996 4.4996
angles: 90.00 90.00 90.00
With the nearest neighbours (Å) after each atom.
Positions (direct):
Zr: 0.0000 0.5000 0.0000  2 O 2.25
Zr: 0.0000 0.0000 0.5000  2 O 2.25
Zr: 0.5000 0.0000 0.0000  2 O 2.25
O: 0.0000 0.0000 0.0000  6 Zr 2.25
Na: 0.5000 0.5000 0.5000  12 Zr 3.18

Summary:
E_tot in eV/cell: -106.2
Formation energy from raw total energies in eV per atom: -0.74
Space group: Pm-3m, No. 221

---

No. 2
A plane-wave DFT calculation with meta-GGA SCAN was carried out for a crystal of Na3OsPb relaxed with PBEsol.

abc: 5.6828 5.6828 5.6828
angles: 90.00 90.00 90.00
With the nearest neighbours (Å) after each atom.
Positions (direct):
Na: 0.0000 0.5000 0.0000  2 Pb 2.84
Na: 0.0000 0.0000 0.5000  2 Pb 2.84
Na: 0.5000 0.0000 0.0000  2 Pb 2.84
Os: 0.5000 0.5000 0.5000  12 Na 4.02
Pb: 0.0000 0.0000 0.0000  6 Na 2.84

Summary:
ΔE_f in meV/atom: 1492
E_tot in eV/cell: -152.8
Space group: Pm-3m, No. 221

---

No. 3
A plane-wave DFT calculation with meta-GGA SCAN was carried out for a crystal of RbNaTc2Os relaxed with PBEsol.

abc: 4.6968 4.6968 5.7032
angles: 90.00 90.00 90.00
With the nearest neighbours (Å) after each atom.
Positions (direct):
Tc: 0.0000 0.5000 0.0000  2 Os 2.35
Tc: 0.5000 0.0000 0.0000  2 Os 2.35
Na: 0.0000 0.0000 0.5000  2 Os 2.85
Os: 0.0000 0.0000 0.0000  4 Tc 2.35
Rb: 0.5000 0.5000 0.5000  4 Na 3.32, 8 Tc 3.69

Summary:
ΔE_f in meV/atom: 1209
E_tot in eV/cell: -160.9
Space group: P4/mmm, No. 123

---

No. 4
A plane-wave DFT calculation with meta-GGA SCAN was carried out for a crystal of NaTlReOs2 relaxed with PBEsol.

abc: 4.5420 4.8771 4.8771
angles: 90.00 90.00 90.00
With the nearest neighbours (Å) after each atom.
Positions (direct):
Re: 0.5000 0.5000 0.5000  8 Os 3.33, 4 Na 3.45
Tl: 0.0000 0.0000 0.0000  2 Na 2.27, 4 Os 2.44
Os: 0.0000 0.5000 0.0000  2 Tl 2.44
Os: 0.0000 0.0000 0.5000  2 Tl 2.44
Na: 0.5000 0.0000 0.0000  2 Tl 2.27

Summary:
ΔE_f in meV/atom: 2937
E_tot in eV/cell: -276.7
Space group: P4/mmm, No. 123

---

No. 5
A plane-wave DFT calculation with meta-GGA SCAN was carried out for a crystal of NaOs2Rh relaxed with PBEsol.

abc: 4.3227 4.3227 4.3227
angles: 60.00 60.00 60.00
With the nearest neighbours (Å) after each atom.
Positions (direct):
Na: 0.0000 0.0000 0.0000  8 Os 2.65
Os: 0.2500 0.2500 0.2500  4 Na 2.65, 4 Rh 2.65
Os: 0.7500 0.7500 0.7500  4 Rh 2.65, 4 Na 2.65
Rh: 0.5000 0.5000 0.5000  8 Os 2.65

Summary:
ΔE_f in meV/atom: 1105
E_tot in eV/cell: -177.3
Space group: Fm-3m, No. 225

---

No. 6
A plane-wave DFT calculation with meta-GGA SCAN was carried out for a crystal of Na2OsRu relaxed with PBEsol.

abc: 4.5448 4.5448 4.5448
angles: 60.00 60.00 60.00
With the nearest neighbours (Å) after each atom.
Positions (direct):
Os: 0.5000 0.5000 0.5000  8 Na 2.78
Na: 0.7500 0.7500 0.7500  4 Ru 2.78, 4 Os 2.78
Na: 0.2500 0.2500 0.2500  4 Os 2.78, 4 Ru 2.78
Ru: 0.0000 0.0000 0.0000  8 Na 2.78

Summary:
ΔE_f in meV/atom: 1699
E_tot in eV/cell: -108.3
Space group: Fm-3m, No. 225

---

No. 7
A plane-wave DFT calculation with meta-GGA SCAN was carried out for a crystal of Na3ScOs relaxed with PBEsol.

abc: 5.2921 5.2921 5.2921
angles: 90.00 90.00 90.00
With the nearest neighbours (Å) after each atom.
Positions (direct):
Na: 0.5000 0.0000 0.0000  2 Os 2.65
Na: 0.0000 0.0000 0.5000  2 Os 2.65
Na: 0.0000 0.5000 0.0000  2 Os 2.65
Os: 0.0000 0.0000 0.0000  6 Na 2.65
Sc: 0.5000 0.5000 0.5000  12 Na 3.74

Summary:
ΔE_f in meV/atom: 1511
E_tot in eV/cell: -91.2
Space group: Pm-3m, No. 221

---

No. 8
A plane-wave DFT calculation with meta-GGA SCAN was carried out for a crystal of NaSc3Os relaxed with PBEsol.

abc: 5.0693 5.0693 5.0693
angles: 90.00 90.00 90.00
With the nearest neighbours (Å) after each atom.
Positions (direct):
Os: 0.0000 0.0000 0.0000  6 Sc 2.53
Sc: 0.0000 0.0000 0.5000  2 Os 2.53
Sc: 0.0000 0.5000 0.0000  2 Os 2.53
Sc: 0.5000 0.0000 0.0000  2 Os 2.53
Na: 0.5000 0.5000 0.5000  12 Sc 3.58

Summary:
ΔE_f in meV/atom: -86
E_tot in eV/cell: -119.2
Space group: Pm-3m, No. 221

---

No. 9
A plane-wave DFT calculation with meta-GGA SCAN was carried out for a crystal of NaOs2Se2 relaxed with PBEsol.

abc: 4.5732 4.5732 5.4746
angles: 114.69 114.69 90.00
With the nearest neighbours (Å) after each atom.
Positions (direct):
Os: 0.3622 0.3622 0.7245  1 Os 2.43, 4 Se 2.49
Os: 0.6378 0.6378 0.2755  1 Os 2.43, 4 Se 2.49
Na: 0.0000 0.0000 0.0000  8 Se 3.18, 10 Os 3.20-3.46
Se: 0.7500 0.2500 0.5000  4 Os 2.49
Se: 0.2500 0.7500 0.5000  4 Os 2.49

Summary:
E_tot in eV/cell: -186.6
Formation energy from raw total energies in eV per atom: 0.30
Space group: I4/mmm, No. 139

---

No. 10
A plane-wave DFT calculation with meta-GGA SCAN was carried out for a crystal of NaOs3Se relaxed with PBEsol.

abc: 4.5339 4.5339 4.5339
angles: 90.00 90.00 90.00
With the nearest neighbours (Å) after each atom.
Positions (direct):
Os: 0.0000 0.0000 0.5000  2 Se 2.27
Os: 0.5000 0.0000 0.0000  2 Se 2.27
Os: 0.0000 0.5000 0.0000  2 Se 2.27
Se: 0.0000 0.0000 0.0000  6 Os 2.27
Na: 0.5000 0.5000 0.5000  12 Os 3.21

Summary:
E_tot in eV/cell: -231.3
Formation energy from raw total energies in eV per atom: 1.72
Space group: Pm-3m, No. 221

---

No. 11
A plane-wave DFT calculation with meta-GGA SCAN was carried out for a crystal of NaSrOs3 relaxed with PBEsol.

abc: 4.8943 4.8943 4.8943
angles: 90.00 90.00 90.00
With the nearest neighbours (Å) after each atom.
Positions (direct):
Os: 0.0000 0.0000 0.5000  2 Sr 2.45
Os: 0.5000 0.0000 0.0000  2 Sr 2.45
Os: 0.0000 0.5000 0.0000  2 Sr 2.45
Sr: 0.0000 0.0000 0.0000  6 Os 2.45
Na: 0.5000 0.5000 0.5000  12 Os 3.46

Summary:
ΔE_f in meV/atom: 3535
E_tot in eV/cell: -224.5
Space group: Pm-3m, No. 221

---

No. 12
A plane-wave DFT calculation with meta-GGA SCAN was carried out for a crystal of NaTcOs2W relaxed with PBEsol.

abc: 4.6847 4.7375 4.7375
angles: 90.00 90.00 90.00
With the nearest neighbours (Å) after each atom.
Positions (direct):
W: 0.0000 0.0000 0.0000  2 Tc 2.34, 4 Os 2.37
Os: 0.0000 0.0000 0.5000  2 W 2.37
Os: 0.0000 0.5000 0.0000  2 W 2.37
Tc: 0.5000 0.0000 0.0000  2 W 2.34
Na: 0.5000 0.5000 0.5000  8 Os 3.33, 4 Tc 3.35

Summary:
ΔE_f in meV/atom: 1831
E_tot in eV/cell: -243.6
Space group: P4/mmm, No. 123

---

No. 13
A plane-wave DFT calculation with meta-GGA SCAN was carried out for a crystal of NaTe3Os relaxed with PBEsol.

abc: 5.2809 5.2809 5.2809
angles: 90.00 90.00 90.00
With the nearest neighbours (Å) after each atom.
Positions (direct):
Te: 0.5000 0.0000 0.0000  2 Os 2.64
Te: 0.0000 0.5000 0.0000  2 Os 2.64
Te: 0.0000 0.0000 0.5000  2 Os 2.64
Na: 0.5000 0.5000 0.5000  12 Te 3.73
Os: 0.0000 0.0000 0.0000  6 Te 2.64

Summary:
E_tot in eV/cell: -186.0
Formation energy from raw total energies in eV per atom: 0.36
Space group: Pm-3m, No. 221

---

No. 14
A plane-wave DFT calculation with meta-GGA SCAN was carried out for a crystal of NaTe2Os relaxed with PBEsol.

abc: 3.9330 3.9330 9.0703
angles: 77.48 77.48 60.00
With the nearest neighbours (Å) after each atom.
Positions (direct):
Os: 0.5000 0.5000 0.5000  6 Te 2.65
Te: 0.8852 0.8852 0.3443  3 Os 2.65
Te: 0.1148 0.1148 0.6557  3 Os 2.65
Na: 0.0000 0.0000 0.0000  2 Te 3.02

Summary:
E_tot in eV/cell: -150.8
Formation energy from raw total energies in eV per atom: -0.05
Space group: R-3m, No. 166

---

No. 15
A plane-wave DFT calculation with meta-GGA SCAN was carried out for a crystal of Na2TiOs relaxed with PBEsol.

abc: 4.6175 4.6175 4.6175
angles: 60.00 60.00 60.00
With the nearest neighbours (Å) after each atom.
Positions (direct):
Na: 0.2500 0.2500 0.2500  4 Os 2.83, 4 Ti 2.83
Na: 0.7500 0.7500 0.7500  4 Os 2.83, 4 Ti 2.83
Os: 0.5000 0.5000 0.5000  8 Na 2.83
Ti: 0.0000 0.0000 0.0000  8 Na 2.83

Summary:
ΔE_f in meV/atom: 1323
E_tot in eV/cell: -91.0
Space group: Fm-3m, No. 225

---

No. 16
A plane-wave DFT calculation with meta-GGA SCAN was carried out for a crystal of Na3TiOs relaxed with PBEsol.

abc: 5.4102 5.4102 5.4102
angles: 90.00 90.00 90.00
With the nearest neighbours (Å) after each atom.
Positions (direct):
Na: 0.0000 0.0000 0.5000  2 Ti 2.71
Na: 0.5000 0.0000 0.0000  2 Ti 2.71
Na: 0.0000 0.5000 0.0000  2 Ti 2.71
Os: 0.5000 0.5000 0.5000  12 Na 3.83
Ti: 0.0000 0.0000 0.0000  6 Na 2.71

Summary:
ΔE_f in meV/atom: 2250
E_tot in eV/cell: -89.3
Space group: Pm-3m, No. 221

---

No. 17
A plane-wave DFT calculation with meta-GGA SCAN was carried out for a crystal of NaTiTl2Os relaxed with PBEsol.

abc: 4.8411 4.8411 4.8662
angles: 90.00 90.00 90.00
With the nearest neighbours (Å) after each atom.
Positions (direct):
Ti: 0.5000 0.5000 0.5000  4 Os 3.42, 8 Tl 3.43
Os: 0.0000 0.0000 0.5000  2 Na 2.43
Tl: 0.5000 0.0000 0.0000  2 Na 2.42
Tl: 0.0000 0.5000 0.0000  2 Na 2.42
Na: 0.0000 0.0000 0.0000  4 Tl 2.42, 2 Os 2.43

Summary:
ΔE_f in meV/atom: 1677
E_tot in eV/cell: -228.5
Space group: P4/mmm, No. 123

---

No. 18
A plane-wave DFT calculation with meta-GGA SCAN was carried out for a crystal of Na2TlOs relaxed with PBEsol.

abc: 4.8413 4.8413 4.8413
angles: 60.00 60.00 60.00
With the nearest neighbours (Å) after each atom.
Positions (direct):
Os: 0.0000 0.0000 0.0000  8 Na 2.96
Na: 0.2500 0.2500 0.2500  4 Os 2.96, 4 Tl 2.96
Na: 0.7500 0.7500 0.7500  4 Tl 2.96, 4 Os 2.96
Tl: 0.5000 0.5000 0.5000  8 Na 2.96

Summary:
ΔE_f in meV/atom: 1019
E_tot in eV/cell: -148.6
Space group: Fm-3m, No. 225

---

No. 19
A plane-wave DFT calculation with meta-GGA SCAN was carried out for a crystal of NaZnOs3 relaxed with PBEsol.

abc: 4.5157 4.5157 4.5157
angles: 90.00 90.00 90.00
With the nearest neighbours (Å) after each atom.
Positions (direct):
Na: 0.5000 0.5000 0.5000  12 Os 3.19
Zn: 0.0000 0.0000 0.0000  6 Os 2.26
Os: 0.0000 0.5000 0.0000  2 Zn 2.26
Os: 0.0000 0.0000 0.5000  2 Zn 2.26
Os: 0.5000 0.0000 0.0000  2 Zn 2.26

Summary:
ΔE_f in meV/atom: 2186
E_tot in eV/cell: -222.4
Space group: Pm-3m, No. 221

---

No. 20
A plane-wave DFT calculation with meta-GGA SCAN was carried out for a crystal of NaZn3Os relaxed with PBEsol.

abc: 4.3591 4.3591 4.3591
angles: 90.00 90.00 90.00
With the nearest neighbours (Å) after each atom.
Positions (direct):
Zn: 0.5000 0.0000 0.0000  2 Na 2.18
Zn: 0.0000 0.5000 0.0000  2 Na 2.18
Zn: 0.0000 0.0000 0.5000  2 Na 2.18
Os: 0.5000 0.5000 0.5000  12 Zn 3.08
Na: 0.0000 0.0000 0.0000  6 Zn 2.18

Summary:
ΔE_f in meV/atom: 1775
E_tot in eV/cell: -107.8
Space group: Pm-3m, No. 221